Here is a relaxed structure of VGa4Ni15 from Alexandria via LeMat-Bulk. Energies are from PBE.

abc: 3.5745 3.5745 17.8835
angles: 90.00 90.00 90.00
Site moments in Bohr magnetons follow the coordinates.
Sites, in units of the cell vectors:
V (0.0000, 0.0000, 0.0000)  -0.05
Ga (0.0000, 0.0000, 0.2003)  -0.01
Ga (0.0000, 0.0000, 0.3999)  -0.02
Ga (0.0000, 0.0000, 0.6001)  -0.02
Ga (0.0000, 0.0000, 0.7997)  -0.01
Ni (0.5000, 0.5000, 0.0000)  0.01
Ni (0.5000, 0.5000, 0.1983)  0.10
Ni (0.5000, 0.5000, 0.3992)  0.27
Ni (0.5000, 0.5000, 0.6008)  0.27
Ni (0.5000, 0.5000, 0.8017)  0.10
Ni (0.5000, 0.0000, 0.0967)  0.04
Ni (0.5000, 0.0000, 0.2992)  0.20
Ni (0.5000, 0.0000, 0.5000)  0.30
Ni (0.5000, 0.0000, 0.7008)  0.20
Ni (0.5000, 0.0000, 0.9033)  0.04
Ni (0.0000, 0.5000, 0.0967)  0.04
Ni (0.0000, 0.5000, 0.2992)  0.20
Ni (0.0000, 0.5000, 0.5000)  0.30
Ni (0.0000, 0.5000, 0.7008)  0.20
Ni (0.0000, 0.5000, 0.9033)  0.04

Calculated values
The calculation puts the density of states at the Fermi level at 20.092 states/eV per cell. For the calculated total energy, the calculation gives -5.69 eV/atom. Its energy relative to the elements is -0.296 eV/atom. The calculation puts the total magnetization at 2.07 μB per formula unit.